Density functional theory data (PBE) for a relaxed structure of Ni2MoC.

The structure belongs to space group P2_1/m (No. 11); the cell edges are 4.710, 3.029 and 6.427 Å and the angles 90.00°, 105.14° and 90.00°. Symmetry generates all atoms from Ni at (0.010, 0.250, 0.161), Ni at (0.451, 0.750, 0.150), Mo at (0.269, 0.750, 0.523) and C at (0.137, 0.250, 0.719).

Its density of states at the Fermi level is 5.3 states/eV/cell. The value obtained for the calculated formation energy is 123 meV/atom. As for the total DFT energy (no corrections): -31.13 eV/f.u.

***

Density functional theory data (PBE) for a relaxed structure of Rb3Tl9In2.

The structure belongs to space group Immm (No. 71); the cell edges are 5.295, 12.176 and 15.376 Å and the angles 90.00°, 90.00° and 90.00°. Symmetry generates all atoms from Rb at (0.000, 0.000, 0.000), Rb at (0.000, 0.000, 0.304), Tl at (0.000, 0.280, 0.135), Tl at (0.000, 0.363, 0.334), Tl at (0.000, 0.500, 0.000) and In at (0.000, 0.194, 0.500).

Its density of states at the Fermi level is 15.8 states/eV/cell. The value obtained for the calculated formation energy is -52 meV/atom. As for the total DFT energy (no corrections): -30.41 eV/f.u.